First-principles (PBE-GGA) data for a relaxed structure of CrHg2, as listed in Alexandria.

The value obtained for the calculated volume is 72 Å³ per cell. The space group is Fm-3m, No. 225. The total energy is -2.9389 eV per atom. The calculation puts the total magnetization at 4.409 μB/cell.

a b c (Å): 4.664 4.664 4.664
angles (deg): 60.00 60.00 60.00
Element x y z (fractional)
Cr 0.000 0.000 0.000
Hg 0.250 0.250 0.250
Hg 0.750 0.750 0.750